Record 1
Density functional theory data (PBE) for BeSi2Br after structural relaxation.

Geometry as extended XYZ:
```
4
Lattice="-0.841 0.310 -3.307 2.043 -2.643 -0.767 -5.027 -4.144 0.890" Properties=species:S:1:pos:R:3 pbc="T T T"
Br -1.492 -3.394 0.062
Si 0.000 0.000 0.000
Si 0.601 -1.167 -2.037
Be -2.934 -1.917 -1.208
```

Summary:
DOS(E_F)	0.485	states/eV per atom
calculated total energy	-3.43	eV/atom
crystal system	tetragonal
ΔE_f (raw)	0.634	eV/atom


Record 2
Density functional theory data (PBE) for Te3AsP after structural relaxation.

Geometry as extended XYZ:
```
5
Lattice="-0.139 -1.941 -4.825 1.773 -4.555 1.781 -4.889 -1.597 0.783" Properties=species:S:1:pos:R:3 pbc="T T T"
Te -0.069 -0.970 -2.413
Te -2.445 -0.799 0.392
Te 0.887 -2.278 0.890
As -1.627 -4.047 -1.131
P 0.000 0.000 0.000
```

Summary:
DOS(E_F)	1.173	states/eV per atom
calculated total energy	-3.21	eV/atom
crystal system	cubic
ΔE_f (raw)	0.689	eV/atom


Record 3
Density functional theory data (PBE) for TbNd3Cd after structural relaxation.

Geometry as extended XYZ:
```
10
Lattice="-2.615 0.831 -2.576 -4.825 -4.808 0.599 -6.632 6.751 8.910" Properties=species:S:1:pos:R:3 pbc="T T T"
Nd -2.428 -0.811 -0.542
Nd -5.802 -3.100 2.142
Nd -6.749 -0.282 4.011
Nd -7.323 3.056 2.921
Nd -11.643 3.586 7.474
Nd -8.270 5.874 4.790
Tb -5.857 0.146 0.498
Tb -8.215 2.628 6.435
Cd -9.875 0.497 4.685
Cd -4.197 2.278 2.248
```

Summary:
DOS(E_F)	1.303	states/eV per atom
calculated total energy	-4.08	eV/atom
crystal system	triclinic
ΔE_f	-0.109	eV/atom


Which of these has the lowest calculated total energy? TbNd3Cd


Which formula does entry 1 have? BeSi2Br